Compound: Sr2CuNi12P3
Source: the Alexandria database
Functional: GGA-PBE
Structure: relaxed

## Properties
* total magnetic moment: 0.0 μB/f.u.
* raw total energy: -5.1529 eV/atom
* calculated volume: 296.5 Å³ per cell

Unit cell a=6.9646 b=6.9646 c=6.9646 alpha=71.88 beta=71.88 gamma=71.88
Fractional coordinates of all 18 atoms:
Ni: 0.8747 0.8747 0.3474
Ni: 0.1308 0.7316 0.7316
Sr: 0.6177 0.6177 0.6177
P: 0.5000 0.0000 0.0000
Cu: 0.0000 0.0000 0.0000
Ni: 0.8747 0.3474 0.8747
Ni: 0.2684 0.2684 0.8692
P: 0.0000 0.0000 0.5000
Ni: 0.6526 0.1253 0.1253
Ni: 0.7316 0.7316 0.1308
Ni: 0.1253 0.6526 0.1253
Ni: 0.3474 0.8747 0.8747
Ni: 0.7316 0.1308 0.7316
Sr: 0.3823 0.3823 0.3823
Ni: 0.8692 0.2684 0.2684
Ni: 0.1253 0.1253 0.6526
P: 0.0000 0.5000 0.0000
Ni: 0.2684 0.8692 0.2684